Material: Tl3InSb
Method: DFT, PBE
State: optimized geometry

POSCAR file:
```
Tl3InSb
1.0
5.6997 0.0000 0.0000
0.0000 5.6997 0.0000
0.0000 0.0000 5.6997
Tl In Sb
3 1 1
Direct
0.0000 0.0000 0.5000
0.0000 0.5000 0.0000
0.5000 0.0000 0.0000
0.0000 0.0000 0.0000
0.5000 0.5000 0.5000
```

Results
E above lowest polymorph, meV/atom: 296



Material: Tl2InSb
Method: DFT, PBE
State: optimized geometry

POSCAR file:
```
Tl2InSb
1.0
10.8269 0.0000 0.0000
0.0000 3.3554 0.0000
-0.7637 0.0000 6.6564
Tl In Sb
4 2 2
Direct
0.0000 0.0000 0.0000
0.2441 0.0000 0.7301
0.5000 0.5000 0.0000
0.7441 0.5000 0.7301
0.4916 0.0000 0.4903
0.9916 0.5000 0.4903
0.2478 0.5000 0.2699
0.7478 0.0000 0.2699
```

Results
E above lowest polymorph, meV/atom: 22



Material: Tl2InSb
Method: DFT, PBE
State: optimized geometry

POSCAR file:
```
Tl2InSb
1.0
3.4413 0.0000 0.0000
0.0000 4.9897 0.0000
-0.6775 0.0000 6.9368
Tl In Sb
2 1 1
Direct
0.0150 0.0000 0.2456
0.9850 0.0000 0.7544
0.5000 0.5000 0.5000
0.5000 0.5000 0.0000
```

Results
E above lowest polymorph, meV/atom: 40



Material: TlIn2SbW
Method: DFT, PBE
State: optimized geometry

POSCAR file:
```
TlIn2SbW
1.0
5.6658 0.0000 0.0000
0.0000 5.6658 0.0000
0.0000 0.0000 5.7025
Tl In Sb W
1 2 1 1
Direct
0.0000 0.0000 0.0000
0.0000 0.5000 0.5000
0.5000 0.0000 0.5000
0.0000 0.0000 0.5000
0.5000 0.5000 0.0000
```



Which E_form (uncorrected) belongs to each record? In order, 2.0; 0.1; 0.2; 8.1 eV/f.u..